{
  "formula": "K2RbGe2",
  "functional": "PBE",
  "state": "relaxed",
  "lattice": [[-1.606, 3.329, -8.932], [2.822, -8.485, -3.670], [-3.598, -1.272, 0.173]],
  "species": ["Rb", "Ge", "K", "Rb", "Ge", "Ge", "K", "K", "Ge", "K"],
  "frac_coords": [[0.000, 0.000, 0.000], [0.091, 0.591, 0.500], [0.193, 0.307, 0.000], [0.500, 0.500, 0.000], [0.591, 0.909, 0.500], [0.909, 0.409, 0.500], [0.307, 0.807, 0.000], [0.693, 0.193, 0.000], [0.409, 0.091, 0.500], [0.807, 0.693, 0.000]],
  "volume_a3_per_atom": 35.69,
  "sg": "P4/mbm",
  "e_above_lowest_polymorph_ev_per_atom": 0.1717,
  "energy_ev_per_atom": -2.355,
  "dos_at_fermi_per_ev_fu": 8.6
}